[1]
A geometry-optimized Na3MgPt2O6 structure, computed with PBE-GGA.

Structure (POSCAR):
```
Na3MgPt2O6
1.0
2.749 -4.818 0.000
2.749 4.818 0.000
-1.822 0.000 5.297
Na Mg Pt O
3 1 2 6
direct
0.000 0.000 0.000
0.331 0.669 0.000
0.669 0.331 0.000
0.500 0.500 0.500
0.167 0.833 0.500
0.833 0.167 0.500
0.096 0.431 0.299
0.229 0.229 0.700
0.431 0.096 0.299
0.569 0.904 0.701
0.771 0.771 0.300
0.904 0.569 0.701
```

Values from the calculation:
V = 11.7 A^3/atom
DOS(E_F) = 4.0 states/eV per cell
DFT total energy = -5.229 eV per atom
Space-group type = C2/m

=====

[2]
A geometry-optimized Na3MgPt3O8 structure, computed with PBE-GGA.

Structure (POSCAR):
```
Na3MgPt3O8
1.0
5.579 -3.104 0.000
5.579 3.104 0.000
-3.454 0.000 5.411
Na Mg Pt O
3 1 3 8
direct
0.000 0.000 0.000
0.000 0.500 0.000
0.500 0.000 0.000
0.000 0.000 0.500
0.000 0.500 0.500
0.500 0.000 0.500
0.500 0.500 0.500
0.224 0.717 0.683
0.229 0.229 0.693
0.243 0.243 0.284
0.283 0.776 0.317
0.717 0.224 0.683
0.757 0.757 0.716
0.771 0.771 0.307
0.776 0.283 0.317
```

Values from the calculation:
V = 12.5 A^3/atom
DOS(E_F) = 0.1 states/eV per cell
DFT total energy = -5.341 eV per atom
Space-group type = C2/m

=====

[3]
A geometry-optimized Na3Mg2PtO6 structure, computed with PBE-GGA.

Structure (POSCAR):
```
Na3Mg2PtO6
1.0
2.685 -4.652 0.000
2.685 4.652 0.000
-1.802 0.000 5.380
Na Mg Pt O
3 2 1 6
direct
0.000 0.000 0.000
0.332 0.668 0.000
0.668 0.332 0.000
0.167 0.833 0.500
0.833 0.167 0.500
0.500 0.500 0.500
0.111 0.432 0.296
0.247 0.247 0.702
0.432 0.111 0.296
0.568 0.889 0.704
0.753 0.753 0.298
0.889 0.568 0.704
```

Values from the calculation:
V = 11.2 A^3/atom
DOS(E_F) = 7.7 states/eV per cell
DFT total energy = -5.266 eV per atom
Space-group type = C2/m

=====

[4]
A geometry-optimized NaPu2MgO8 structure, computed with PBE-GGA.

Structure (POSCAR):
```
NaPu2MgO8
1.0
5.840 0.000 0.000
-2.920 5.058 0.000
0.000 0.000 5.326
Na Pu Mg O
1 2 1 8
direct
0.000 0.000 0.000
0.333 0.667 0.937
0.667 0.333 0.063
0.000 0.000 0.500
0.057 0.361 0.180
0.304 0.943 0.180
0.333 0.667 0.591
0.361 0.304 0.820
0.639 0.696 0.180
0.667 0.333 0.409
0.696 0.057 0.820
0.943 0.639 0.820
```

Values from the calculation:
V = 13.1 A^3/atom
DOS(E_F) = 6.5 states/eV per cell
DFT total energy = -7.746 eV per atom
Space-group type = P-3

=====

[5]
A geometry-optimized Na3PuMg2O6 structure, computed with PBE-GGA.

Structure (POSCAR):
```
Na3PuMg2O6
1.0
2.760 -4.793 0.000
2.760 4.793 0.000
-1.818 0.000 5.499
Na Pu Mg O
3 1 2 6
direct
0.000 0.000 0.000
0.326 0.674 0.000
0.674 0.326 0.000
0.500 0.500 0.500
0.167 0.833 0.500
0.833 0.167 0.500
0.100 0.431 0.293
0.238 0.238 0.707
0.431 0.100 0.293
0.569 0.900 0.707
0.762 0.762 0.293
0.900 0.569 0.707
```

Values from the calculation:
V = 12.1 A^3/atom
DOS(E_F) = 10.5 states/eV per cell
DFT total energy = -6.605 eV per atom
Space-group type = C2/m

=====

[6]
A geometry-optimized NaPuMg2O6 structure, computed with PBE-GGA.

Structure (POSCAR):
```
NaPuMg2O6
1.0
2.708 1.563 4.920
-2.708 1.563 4.920
0.000 -3.126 4.920
Na Pu Mg O
1 1 2 6
direct
0.000 0.000 0.000
0.520 0.520 0.520
0.205 0.205 0.205
0.724 0.724 0.724
0.127 0.445 0.784
0.342 0.909 0.568
0.445 0.784 0.127
0.568 0.342 0.909
0.784 0.127 0.445
0.909 0.568 0.342
```

Values from the calculation:
V = 12.5 A^3/atom
DFT total energy = -7.231 eV per atom
Space-group type = R3

=====

[7]
A geometry-optimized Na2PuMgO6 structure, computed with PBE-GGA.

Structure (POSCAR):
```
Na2PuMgO6
1.0
5.582 0.000 0.000
0.000 5.674 0.000
-5.544 0.000 7.949
Na Pu Mg O
4 2 2 12
direct
0.240 0.035 0.249
0.240 0.465 0.749
0.760 0.535 0.251
0.760 0.965 0.751
0.500 0.000 0.000
0.500 0.500 0.500
0.000 0.000 0.500
0.000 0.500 0.000
0.176 0.202 0.959
0.176 0.298 0.459
0.256 0.719 0.956
0.256 0.781 0.456
0.340 0.024 0.758
0.340 0.476 0.258
0.660 0.524 0.742
0.660 0.976 0.242
0.744 0.219 0.544
0.744 0.281 0.044
0.824 0.702 0.541
0.824 0.798 0.041
```

Values from the calculation:
V = 12.6 A^3/atom
DOS(E_F) = 6.3 states/eV per cell
DFT total energy = -6.940 eV per atom
Space-group type = P2_1/c

=====

[8]
A geometry-optimized RbNaMg6O7 structure, computed with PBE-GGA.

Structure (POSCAR):
```
RbNaMg6O7
1.0
4.593 0.000 0.000
0.000 4.593 0.000
0.000 0.000 8.559
Rb Na Mg O
1 1 6 7
direct
0.000 0.000 0.000
0.500 0.500 0.913
0.000 0.000 0.444
0.000 0.500 0.162
0.000 0.500 0.693
0.500 0.000 0.162
0.500 0.000 0.693
0.500 0.500 0.416
0.000 0.000 0.665
0.000 0.500 0.395
0.000 0.500 0.926
0.500 0.000 0.395
0.500 0.000 0.926
0.500 0.500 0.180
0.500 0.500 0.648
```

Values from the calculation:
V = 12.0 A^3/atom
E above lowest polymorph = 101.0 meV/atom
DOS(E_F) = 2.0 states/eV per cell
DFT total energy = -4.946 eV per atom
Space-group type = P4mm

=====

[9]
A geometry-optimized RbNaMg6O7 structure, computed with PBE-GGA.

Structure (POSCAR):
```
RbNaMg6O7
1.0
4.240 0.000 0.000
0.000 4.240 0.000
0.000 0.000 11.546
Rb Na Mg O
1 1 6 7
direct
0.000 0.000 0.000
0.000 0.000 0.481
0.000 0.500 0.301
0.000 0.500 0.675
0.500 0.000 0.301
0.500 0.000 0.675
0.500 0.500 0.471
0.500 0.500 0.862
0.000 0.000 0.268
0.000 0.000 0.672
0.000 0.500 0.489
0.000 0.500 0.850
0.500 0.000 0.489
0.500 0.000 0.850
0.500 0.500 0.294
```

Values from the calculation:
V = 13.8 A^3/atom
E above lowest polymorph = 44.5 meV/atom
DOS(E_F) = 2.9 states/eV per cell
DFT total energy = -5.003 eV per atom
Space-group type = P4mm

=====

[10]
A geometry-optimized RbNaMg14O15 structure, computed with PBE-GGA.

Structure (POSCAR):
```
RbNaMg14O15
1.0
4.410 0.000 0.000
0.000 8.812 0.000
0.000 0.000 8.509
Rb Na Mg O
1 1 14 15
direct
0.000 0.000 0.000
0.000 0.500 0.590
0.000 0.000 0.568
0.000 0.249 0.335
0.000 0.283 0.844
0.000 0.500 0.101
0.000 0.717 0.844
0.000 0.751 0.335
0.500 0.000 0.331
0.500 0.000 0.833
0.500 0.251 0.595
0.500 0.255 0.099
0.500 0.500 0.351
0.500 0.500 0.844
0.500 0.745 0.099
0.500 0.749 0.595
0.000 0.000 0.341
0.000 0.223 0.614
0.000 0.270 0.090
0.000 0.500 0.336
0.000 0.500 0.855
0.000 0.730 0.090
0.000 0.777 0.614
0.500 0.000 0.094
0.500 0.000 0.600
0.500 0.237 0.848
0.500 0.250 0.347
0.500 0.500 0.091
0.500 0.500 0.603
0.500 0.750 0.347
0.500 0.763 0.848
```

Values from the calculation:
V = 10.7 A^3/atom
E above lowest polymorph = 0.0 meV/atom
DOS(E_F) = 0.0 states/eV per cell
DFT total energy = -5.535 eV per atom
Space-group type = Pmm2

=====

[11]
A geometry-optimized RbNaMg6O7 structure, computed with PBE-GGA.

Structure (POSCAR):
```
RbNaMg6O7
1.0
4.253 0.000 0.000
0.000 4.253 0.000
0.000 0.000 11.708
Rb Na Mg O
1 1 6 7
direct
0.000 0.000 0.000
0.500 0.500 0.100
0.000 0.000 0.507
0.000 0.500 0.300
0.000 0.500 0.694
0.500 0.000 0.300
0.500 0.000 0.694
0.500 0.500 0.522
0.000 0.000 0.337
0.000 0.000 0.705
0.000 0.500 0.138
0.000 0.500 0.515
0.500 0.000 0.138
0.500 0.000 0.515
0.500 0.500 0.703
```

Values from the calculation:
V = 14.1 A^3/atom
E above lowest polymorph = 0.0 meV/atom
DOS(E_F) = 3.2 states/eV per cell
DFT total energy = -5.047 eV per atom
Space-group type = P4mm

=====

[12]
A geometry-optimized RbNaMg14O15 structure, computed with PBE-GGA.

Structure (POSCAR):
```
RbNaMg14O15
1.0
4.222 0.000 0.000
0.000 8.380 0.000
0.000 0.000 10.359
Rb Na Mg O
1 1 14 15
direct
0.000 0.000 0.000
0.000 0.500 0.575
0.000 0.000 0.536
0.000 0.229 0.323
0.000 0.251 0.741
0.000 0.500 0.033
0.000 0.749 0.741
0.000 0.771 0.323
0.500 0.000 0.322
0.500 0.000 0.731
0.500 0.255 0.123
0.500 0.259 0.539
0.500 0.500 0.338
0.500 0.500 0.825
0.500 0.741 0.539
0.500 0.745 0.123
0.000 0.000 0.341
0.000 0.000 0.741
0.000 0.244 0.536
0.000 0.299 0.137
0.000 0.500 0.814
0.000 0.701 0.137
0.000 0.756 0.536
0.500 0.000 0.130
0.500 0.000 0.534
0.500 0.251 0.754
0.500 0.266 0.324
0.500 0.500 0.027
0.500 0.500 0.522
0.500 0.734 0.324
0.500 0.749 0.754
```

Values from the calculation:
V = 11.8 A^3/atom
E above lowest polymorph = 1.3 meV/atom
DFT total energy = -5.534 eV per atom
Space-group type = Pmm2

=====

[13]
A geometry-optimized RbNaMg14O15 structure, computed with PBE-GGA.

Structure (POSCAR):
```
RbNaMg14O15
1.0
4.393 0.000 0.000
0.000 8.848 0.000
0.000 0.000 8.510
Rb Na Mg O
1 1 14 15
direct
0.000 0.000 0.000
0.000 0.500 0.888
0.000 0.000 0.422
0.000 0.246 0.660
0.000 0.284 0.140
0.000 0.500 0.400
0.000 0.716 0.140
0.000 0.754 0.660
0.500 0.000 0.152
0.500 0.000 0.667
0.500 0.248 0.397
0.500 0.258 0.894
0.500 0.500 0.142
0.500 0.500 0.649
0.500 0.742 0.894
0.500 0.752 0.397
0.000 0.000 0.646
0.000 0.233 0.379
0.000 0.258 0.901
0.000 0.500 0.166
0.000 0.500 0.627
0.000 0.742 0.901
0.000 0.767 0.379
0.500 0.000 0.385
0.500 0.000 0.901
0.500 0.240 0.146
0.500 0.248 0.644
0.500 0.500 0.391
0.500 0.500 0.901
0.500 0.752 0.644
0.500 0.760 0.146
```

Values from the calculation:
V = 10.7 A^3/atom
E above lowest polymorph = 28.8 meV/atom
DOS(E_F) = 0.0 states/eV per cell
DFT total energy = -5.506 eV per atom
Space-group type = Pmm2

=====

[14]
A geometry-optimized Na3MgRe2O9 structure, computed with PBE-GGA.

Structure (POSCAR):
```
Na3MgRe2O9
1.0
5.522 0.000 0.000
-2.761 4.782 0.000
0.000 0.000 6.797
Na Mg Re O
3 1 2 9
direct
0.000 0.000 0.000
0.333 0.667 0.672
0.667 0.333 0.328
0.000 0.000 0.500
0.333 0.667 0.177
0.667 0.333 0.823
0.000 0.500 0.000
0.172 0.343 0.322
0.172 0.828 0.322
0.343 0.172 0.678
0.500 0.000 0.000
0.500 0.500 0.000
0.657 0.828 0.322
0.828 0.172 0.678
0.828 0.657 0.678
```

Values from the calculation:
V = 12.0 A^3/atom
DOS(E_F) = 3.4 states/eV per cell
DFT total energy = -6.847 eV per atom
Space-group type = P-3m1

=====

[15]
A geometry-optimized Na2MgReO6 structure, computed with PBE-GGA.

Structure (POSCAR):
```
Na2MgReO6
1.0
0.000 3.935 3.935
3.935 0.000 3.935
3.935 3.935 0.000
Na Mg Re O
2 1 1 6
direct
0.250 0.250 0.250
0.750 0.750 0.750
0.000 0.000 0.000
0.500 0.500 0.500
0.260 0.260 0.740
0.260 0.740 0.260
0.260 0.740 0.740
0.740 0.260 0.260
0.740 0.260 0.740
0.740 0.740 0.260
```

Values from the calculation:
V = 12.2 A^3/atom
DOS(E_F) = 4.8 states/eV per cell
DFT total energy = -6.393 eV per atom
Space-group type = Fm-3m

=====

[16]
A geometry-optimized Na2Mg2ReO6 structure, computed with PBE-GGA.

Structure (POSCAR):
```
Na2Mg2ReO6
1.0
2.684 -4.517 0.000
2.684 4.517 0.000
-1.907 0.000 5.512
Na Mg Re O
2 2 1 6
direct
0.173 0.827 0.000
0.827 0.173 0.000
0.337 0.663 0.500
0.663 0.337 0.500
0.000 0.000 0.500
0.061 0.376 0.693
0.240 0.240 0.308
0.376 0.061 0.693
0.624 0.939 0.307
0.760 0.760 0.692
0.939 0.624 0.307
```

Values from the calculation:
V = 12.1 A^3/atom
DOS(E_F) = 3.5 states/eV per cell
DFT total energy = -6.375 eV per atom
Space-group type = C2/m

=====

[17]
A geometry-optimized Na2MgRh2O6 structure, computed with PBE-GGA.

Structure (POSCAR):
```
Na2MgRh2O6
1.0
2.654 -4.541 0.000
2.654 4.541 0.000
-1.703 0.000 5.514
Na Mg Rh O
2 1 2 6
direct
0.169 0.831 0.000
0.831 0.169 0.000
0.000 0.000 0.500
0.339 0.661 0.500
0.661 0.339 0.500
0.054 0.405 0.690
0.267 0.267 0.297
0.405 0.054 0.690
0.595 0.946 0.310
0.733 0.733 0.703
0.946 0.595 0.310
```

Values from the calculation:
V = 12.1 A^3/atom
DOS(E_F) = 5.1 states/eV per cell
DFT total energy = -5.784 eV per atom
Space-group type = C2/m